Arrangement P

{
  "formula": "SrErZn",
  "functional": "PBE",
  "state": "relaxed",
  "cell": [[4.938, 0.000, 0.000], [0.000, 4.938, 0.000], [0.000, 0.000, 7.852]],
  "species": ["Sr", "Sr", "Er", "Er", "Zn", "Zn"],
  "frac_coords": [[0.250, 0.250, 0.135], [0.750, 0.750, 0.865], [0.250, 0.750, 0.500], [0.750, 0.250, 0.500], [0.250, 0.250, 0.714], [0.750, 0.750, 0.286]],
  "magmom_total_mub_per_atom": 0.000
}


Arrangement Q

{
  "formula": "SrErZn",
  "functional": "PBE",
  "state": "relaxed",
  "cell": [[-1.859, 1.859, 6.631], [1.859, -1.859, 6.631], [1.859, 1.859, -6.631]],
  "species": ["Sr", "Er", "Zn"],
  "frac_coords": [[0.000, 0.000, 0.000], [0.273, 0.273, 0.000], [0.665, 0.665, 0.000]],
  "magmom_total_mub_per_atom": 0.000
}


Short version: arrangement P is the most stable of them.


Arrangement P

{
  "formula": "SrEr2Zn",
  "functional": "PBE",
  "state": "relaxed",
  "cell": [[1.826, 1.054, 11.251], [-1.826, 1.054, 11.251], [0.000, -2.109, 11.251]],
  "species": ["Sr", "Er", "Er", "Zn"],
  "frac_coords": [[0.000, 0.000, 0.000], [0.105, 0.105, 0.105], [0.895, 0.895, 0.895], [0.500, 0.500, 0.500]],
  "magmom_total_mub_per_atom": 0.000
}


Arrangement Q

{
  "formula": "SrEr2Zn",
  "functional": "PBE",
  "state": "relaxed",
  "cell": [[3.636, 0.000, 0.000], [0.000, 3.636, 0.000], [0.000, 0.000, 9.356]],
  "species": ["Sr", "Er", "Er", "Zn"],
  "frac_coords": [[0.000, 0.000, 0.000], [0.500, 0.500, 0.323], [0.500, 0.500, 0.677], [0.000, 0.000, 0.500]],
  "magmom_total_mub_per_atom": 0.000
}


Short version: arrangement Q is the most stable of them.


Arrangement P

{
  "formula": "Tb3Er13",
  "functional": "PBE",
  "state": "relaxed",
  "cell": [[9.911, 0.000, 0.000], [0.000, 4.959, 4.961], [0.000, -4.959, 4.961]],
  "species": ["Tb", "Tb", "Tb", "Er", "Er", "Er", "Er", "Er", "Er", "Er", "Er", "Er", "Er", "Er", "Er", "Er"],
  "frac_coords": [[0.000, 0.000, 0.000], [0.250, 0.251, 0.251], [0.750, 0.251, 0.251], [0.000, 0.000, 0.501], [0.000, 0.501, 0.000], [0.000, 0.501, 0.501], [0.251, 0.251, 0.750], [0.251, 0.750, 0.251], [0.251, 0.750, 0.750], [0.500, 0.000, 0.000], [0.500, 0.000, 0.501], [0.500, 0.501, 0.000], [0.500, 0.501, 0.501], [0.749, 0.251, 0.750], [0.749, 0.750, 0.251], [0.749, 0.750, 0.750]],
  "magmom_total_mub_per_atom": 0.000
}


Arrangement Q

{
  "formula": "Tb3Er13",
  "functional": "PBE",
  "state": "relaxed",
  "cell": [[7.185, 0.000, 0.000], [0.000, 5.557, 6.213], [0.000, -5.557, 6.213]],
  "species": ["Tb", "Tb", "Tb", "Er", "Er", "Er", "Er", "Er", "Er", "Er", "Er", "Er", "Er", "Er", "Er", "Er"],
  "frac_coords": [[0.000, 0.000, 0.000], [0.251, 0.749, 0.749], [0.749, 0.749, 0.749], [0.000, 0.416, 0.917], [0.000, 0.499, 0.499], [0.000, 0.917, 0.416], [0.250, 0.167, 0.665], [0.250, 0.250, 0.250], [0.250, 0.665, 0.167], [0.500, 0.000, 0.000], [0.500, 0.415, 0.917], [0.500, 0.499, 0.499], [0.500, 0.917, 0.415], [0.750, 0.167, 0.665], [0.750, 0.250, 0.250], [0.750, 0.665, 0.167]],
  "magmom_total_mub_per_atom": 0.000
}


Short version: arrangement Q is the most stable of them.


Arrangement P

{
  "formula": "Tb7Er3",
  "functional": "PBE",
  "state": "relaxed",
  "cell": [[9.013, -2.495, 0.000], [9.013, 2.495, 0.000], [-1.392, 0.000, 6.956]],
  "species": ["Tb", "Tb", "Tb", "Tb", "Tb", "Tb", "Tb", "Er", "Er", "Er"],
  "frac_coords": [[0.000, 0.000, 0.000], [0.200, 0.200, 0.600], [0.400, 0.400, 0.199], [0.400, 0.400, 0.700], [0.600, 0.600, 0.300], [0.600, 0.600, 0.801], [0.800, 0.800, 0.400], [0.000, 0.000, 0.500], [0.200, 0.200, 0.100], [0.800, 0.800, 0.900]],
  "magmom_total_mub_per_atom": 0.000
}


Arrangement Q

{
  "formula": "Tb7Er3",
  "functional": "PBE",
  "state": "relaxed",
  "cell": [[10.861, 0.000, 0.000], [-5.431, 9.406, 0.000], [0.000, 0.000, 6.238]],
  "species": ["Tb", "Tb", "Tb", "Tb", "Tb", "Tb", "Tb", "Tb", "Tb", "Tb", "Tb", "Tb", "Tb", "Tb", "Er", "Er", "Er", "Er", "Er", "Er"],
  "frac_coords": [[0.058, 0.529, 0.000], [0.118, 0.236, 0.856], [0.118, 0.882, 0.856], [0.236, 0.118, 0.356], [0.333, 0.667, 0.748], [0.471, 0.529, 0.000], [0.471, 0.942, 0.000], [0.529, 0.058, 0.500], [0.529, 0.471, 0.500], [0.667, 0.333, 0.248], [0.764, 0.882, 0.856], [0.882, 0.118, 0.356], [0.882, 0.764, 0.356], [0.942, 0.471, 0.500], [0.214, 0.429, 0.368], [0.214, 0.786, 0.368], [0.429, 0.214, 0.868], [0.571, 0.786, 0.368], [0.786, 0.214, 0.868], [0.786, 0.571, 0.868]],
  "magmom_total_mub_per_atom": 0.085
}


Short version: arrangement P is the most stable of them.